# 1
# Mg2TlBi, relaxed, DFT PBE
data_Mg2TlBi
_chemical_formula_sum 'Mg2 Tl1 Bi1'
_symmetry_space_group_name_H-M 'P 4/m m m'
_symmetry_Int_Tables_number 123
_symmetry_space_group_name_Hall '-P 4 2'
_cell_length_a 3.8428
_cell_length_b 3.8428
_cell_length_c 7.0634
_cell_angle_alpha 90.00
_cell_angle_beta 90.00
_cell_angle_gamma 90.00
loop_
_atom_site_label
_atom_site_type_symbol
_atom_site_fract_x
_atom_site_fract_y
_atom_site_fract_z
Mg1 Mg 0.0000 0.0000 0.2458
Tl1 Tl 0.5000 0.5000 0.0000
Bi1 Bi 0.5000 0.5000 0.5000
# Calculated formation energy: -0.069 eV per atom
# DFT total energy: -2.428 eV/atom


# 2
# Tb2Nd3Y5, relaxed, DFT PBE
data_Tb2Nd3Y5
_chemical_formula_sum 'Tb8 Nd12 Y20'
_symmetry_space_group_name_H-M 'C 1 2/c 1'
_symmetry_Int_Tables_number 15
_symmetry_space_group_name_Hall '-C 2yc'
_cell_length_a 10.8206
_cell_length_b 16.2769
_cell_length_c 9.3685
_cell_angle_alpha 90.00
_cell_angle_beta 125.24
_cell_angle_gamma 90.00
loop_
_atom_site_label
_atom_site_type_symbol
_atom_site_fract_x
_atom_site_fract_y
_atom_site_fract_z
Tb1 Tb 0.1484 0.1216 0.0443
Nd1 Nd 0.0000 0.2707 0.7500
Nd2 Nd 0.1473 0.3750 0.5480
Y1 Y 0.0000 0.0271 0.2500
Y2 Y 0.0000 0.2263 0.2500
Y3 Y 0.0000 0.4750 0.7500
Y4 Y 0.2455 0.1190 0.7408
# Calculated formation energy: 0.181 eV per atom
# DFT total energy: -5.407 eV/atom


# 3
# CoNi2GeN, relaxed, DFT PBE
data_CoNi2GeN
_chemical_formula_sum 'Co1 Ni2 Ge1 N1'
_symmetry_space_group_name_H-M 'P 4/m m m'
_symmetry_Int_Tables_number 123
_symmetry_space_group_name_Hall '-P 4 2'
_cell_length_a 3.8307
_cell_length_b 3.8307
_cell_length_c 3.7737
_cell_angle_alpha 90.00
_cell_angle_beta 90.00
_cell_angle_gamma 90.00
loop_
_atom_site_label
_atom_site_type_symbol
_atom_site_fract_x
_atom_site_fract_y
_atom_site_fract_z
Co1 Co 0.0000 0.0000 0.0000
Ni1 Ni 0.0000 0.5000 0.5000
Ge1 Ge 0.5000 0.5000 0.0000
N1 N 0.0000 0.0000 0.5000
# DFT total energy: -6.294 eV/atom
# Formation energy without anion corrections: 27.9 meV/atom